{"formula": "MgZrGa2Pd2", "functional": "GGA-PBE", "state": "relaxed", "cell": [[4.414, 0.000, 0.000], [-2.207, 3.823, 0.000], [0.000, 0.000, 6.126]], "species": ["Mg", "Zr", "Ga", "Ga", "Pd", "Pd"], "frac_coords": [[0.000, 0.000, 0.000], [0.000, 0.000, 0.500], [0.333, 0.667, 0.253], [0.667, 0.333, 0.747], [0.333, 0.667, 0.759], [0.667, 0.333, 0.241]], "total_energy_ev_per_cell": -30.422, "dos_ef_per_ev_fu": 3.902, "formation_enthalpy_0k_mev_per_atom": -640}